# AcPrPu2Se4 PBE-GGA optimized geometry
# - D(E_F): 2.324 states/eV per atom
# - Mass density: 8888 kg/m³
# - VASP energy: -8.13 eV per atom
# - Energy relative to the elements, uncorrected: -1305 kJ/mol of formula units
data_AcPrPu2Se4
_cell_length_a 7.3592
_cell_length_b 4.2475
_cell_length_c 7.4187
_cell_angle_alpha 90.00
_cell_angle_beta 109.27
_cell_angle_gamma 90.00
_symmetry_space_group_name_H-M 'P 1 2/m 1'
_symmetry_Int_Tables_number 10
loop_
_symmetry_equiv_pos_as_xyz
'x,y,z'
'-x,-y,-z'
'-x,y,-z'
'x,-y,z'
loop_
_atom_site_label
_atom_site_fract_x
_atom_site_fract_y
_atom_site_fract_z
Ac1 0.0000 0.0000 0.0000
Pr1 0.5000 0.5000 0.0000
Pu1 0.0000 0.5000 0.5000
Pu2 0.5000 0.0000 0.5000
Se1 0.2509 0.0000 0.7360
Se2 0.2617 0.5000 0.2682

# AcPr2PuSe4 PBE-GGA optimized geometry
# - D(E_F): 1.414 states/eV per atom
# - Mass density: 7920 kg/m³
# - VASP energy: -7.01 eV per atom
# - Energy relative to the elements, uncorrected: -1364 kJ/mol of formula units
data_AcPr2PuSe4
_cell_length_a 7.4485
_cell_length_b 4.2744
_cell_length_c 7.4543
_cell_angle_alpha 90.00
_cell_angle_beta 109.24
_cell_angle_gamma 90.00
_symmetry_space_group_name_H-M 'P 1 2/m 1'
_symmetry_Int_Tables_number 10
loop_
_symmetry_equiv_pos_as_xyz
'x,y,z'
'-x,-y,-z'
'-x,y,-z'
'x,-y,z'
loop_
_atom_site_label
_atom_site_fract_x
_atom_site_fract_y
_atom_site_fract_z
Ac1 0.0000 0.0000 0.0000
Pr1 0.5000 0.0000 0.5000
Pr2 0.5000 0.5000 0.0000
Pu1 0.0000 0.5000 0.5000
Se1 0.2470 0.0000 0.7394
Se2 0.2546 0.5000 0.2611

# AcPrSmPu PBE-GGA optimized geometry
# - D(E_F): 4.034 states/eV per atom
# - Formation energy from the elements: 1.08 eV per formula unit
# - Mass density: 8802 kg/m³
# - VASP energy: -6.71 eV per atom
data_AcPrSmPu
_cell_length_a 8.3167
_cell_length_b 8.3167
_cell_length_c 8.3167
_cell_angle_alpha 90.00
_cell_angle_beta 90.00
_cell_angle_gamma 90.00
_symmetry_space_group_name_H-M 'F -4 3 m'
_symmetry_Int_Tables_number 216
_symmetry_space_group_name_Hall 'F -4 2 3'
loop_
_atom_site_label
_atom_site_fract_x
_atom_site_fract_y
_atom_site_fract_z
Ac1 0.0000 0.0000 0.0000
Pr1 0.2500 0.2500 0.7500
Sm1 0.2500 0.2500 0.2500
Pu1 0.0000 0.0000 0.5000

# AcPrPuSn PBE-GGA optimized geometry
# - D(E_F): 3.701 states/eV per atom
# - Formation energy from the elements: -0.25 eV per formula unit
# - Mass density: 9618 kg/m³
# - VASP energy: -6.87 eV per atom
data_AcPrPuSn
_cell_length_a 7.9610
_cell_length_b 7.9610
_cell_length_c 7.9610
_cell_angle_alpha 90.00
_cell_angle_beta 90.00
_cell_angle_gamma 90.00
_symmetry_space_group_name_H-M 'F -4 3 m'
_symmetry_Int_Tables_number 216
_symmetry_space_group_name_Hall 'F -4 2 3'
loop_
_atom_site_label
_atom_site_fract_x
_atom_site_fract_y
_atom_site_fract_z
Ac1 0.0000 0.0000 0.0000
Pr1 0.2500 0.2500 0.7500
Pu1 0.2500 0.2500 0.2500
Sn1 0.0000 0.0000 0.5000

# Ac3Pr2PuTe6 PBE-GGA optimized geometry
# - D(E_F): 1.220 states/eV per atom
# - Mass density: 7837 kg/m³
# - VASP energy: -6.00 eV per atom
# - Energy relative to the elements, uncorrected: -1636 kJ/mol of formula units
data_Ac3Pr2PuTe6
_cell_length_a 20.1356
_cell_length_b 4.5985
_cell_length_c 9.2790
_cell_angle_alpha 90.00
_cell_angle_beta 103.38
_cell_angle_gamma 90.00
_symmetry_space_group_name_H-M 'C 1 2/m 1'
_symmetry_Int_Tables_number 12
loop_
_symmetry_equiv_pos_as_xyz
'x,y,z'
'-x,-y,-z'
'-x,y,-z'
'x,-y,z'
'x+1/2,y+1/2,z'
'-x+1/2,-y+1/2,-z'
'-x+1/2,y+1/2,-z'
'x+1/2,-y+1/2,z'
loop_
_atom_site_label
_atom_site_fract_x
_atom_site_fract_y
_atom_site_fract_z
Ac1 0.0000 0.0000 0.0000
Ac2 0.1682 0.5000 0.3340
Pr1 0.1659 0.5000 0.8314
Pu1 0.0000 0.0000 0.5000
Te1 0.0017 0.5000 0.7377
Te2 0.1614 0.0000 0.5880
Te3 0.1695 0.0000 0.0761

# Ac2PrPu3Te6 PBE-GGA optimized geometry
# - D(E_F): 3.085 states/eV per atom
# - Mass density: 8657 kg/m³
# - VASP energy: -7.52 eV per atom
# - Energy relative to the elements, uncorrected: -1482 kJ/mol of formula units
data_Ac2PrPu3Te6
_cell_length_a 19.8566
_cell_length_b 4.5439
_cell_length_c 9.1293
_cell_angle_alpha 90.00
_cell_angle_beta 102.95
_cell_angle_gamma 90.00
_symmetry_space_group_name_H-M 'C 1 2/m 1'
_symmetry_Int_Tables_number 12
loop_
_symmetry_equiv_pos_as_xyz
'x,y,z'
'-x,-y,-z'
'-x,y,-z'
'x,-y,z'
'x+1/2,y+1/2,z'
'-x+1/2,-y+1/2,-z'
'-x+1/2,y+1/2,-z'
'x+1/2,-y+1/2,z'
loop_
_atom_site_label
_atom_site_fract_x
_atom_site_fract_y
_atom_site_fract_z
Ac1 0.1646 0.0000 0.3328
Pr1 0.0000 0.5000 0.0000
Pu1 0.0000 0.5000 0.5000
Pu2 0.1683 0.0000 0.8368
Te1 0.0058 0.0000 0.7477
Te2 0.1634 0.5000 0.5963
Te3 0.1677 0.5000 0.0711